ZrCu2Ir after structural relaxation, computed with PBE.

POSCAR file:
```
ZrCu2Ir
1.0
3.4039 0.0000 0.0000
0.0000 3.4039 0.0000
0.0000 0.0000 5.2989
Zr Cu Ir
1 2 1
Direct
0.0000 0.0000 0.0000
0.5000 0.5000 0.2652
0.5000 0.5000 0.7348
0.0000 0.0000 0.5000
```

## Properties
**Total energy**: -6.483 eV per atom
**Volume**: 61 Å³ per cell
**Space-group type**: No. 123
**Calculated formation energy**: -0.08 eV per atom

***

LiPr2Pa after structural relaxation, computed with PBE.

POSCAR file:
```
LiPr2Pa
1.0
3.3108 0.0000 0.0000
-1.6554 2.8672 0.0000
0.0000 0.0000 36.9109
Li Pr Pa
3 6 3
Direct
0.0000 0.0000 0.0000
0.3333 0.6667 0.6667
0.6667 0.3333 0.3333
0.0000 0.0000 0.4128
0.0000 0.0000 0.5872
0.3333 0.6667 0.0794
0.3333 0.6667 0.2539
0.6667 0.3333 0.7461
0.6667 0.3333 0.9206
0.0000 0.0000 0.5000
0.3333 0.6667 0.1667
0.6667 0.3333 0.8333
```

## Properties
**Total energy**: -4.865 eV per atom
**Volume**: 350 Å³ per cell
**Space-group type**: No. 166
**Calculated formation energy**: 0.38 eV per atom

***

LaTm5Cd6 after structural relaxation, computed with PBE.

POSCAR file:
```
LaTm5Cd6
1.0
2.6316 -7.9359 0.0000
2.6316 7.9359 0.0000
0.0000 0.0000 7.5163
La Tm Cd
1 5 6
Direct
0.0000 0.0000 0.0000
0.0000 0.0000 0.5000
0.3305 0.6695 0.0000
0.3377 0.6623 0.5000
0.6623 0.3377 0.5000
0.6695 0.3305 0.0000
0.1718 0.8282 0.2606
0.1718 0.8282 0.7394
0.5000 0.5000 0.2590
0.5000 0.5000 0.7410
0.8282 0.1718 0.2606
0.8282 0.1718 0.7394
```

## Properties
**Total energy**: -3.033 eV per atom
**Volume**: 314 Å³ per cell
**Space-group type**: No. 65
**Calculated formation energy**: -0.30 eV per atom